Here is a geometry-optimized CoRhBr2 structure from Alexandria via LeMat-Bulk. Energies are from PBE.

Values from the calculation:
Raw formation energy in meV/atom: 267
Energy above the lowest structure with this stoichiometry in eV/f.u.: 0.81

```
CoRhBr2
1.0
3.5392 -0.0258 0.0000
-1.3826 3.2580 0.0000
0.0000 0.0000 7.9871
Br Rh Co
2 1 1
Direct
0.5000 0.5000 0.3509
0.0000 0.0000 0.9123
0.5000 0.5000 0.6971
0.0000 0.0000 0.5396
```

---

Here is a geometry-optimized Co3RhBr structure from Alexandria via LeMat-Bulk. Energies are from PBE.

Values from the calculation:
Raw formation energy in meV/atom: 1235
Energy above the lowest structure with this stoichiometry in eV/f.u.: 0.00

```
Co3RhBr
1.0
-0.0388 2.0416 3.7673
0.8910 -3.6812 2.0041
4.1912 0.8015 -0.3912
Rh Br Co
1 1 3
Direct
0.5000 0.5000 0.5000
0.0000 0.0000 0.0000
0.0000 0.5000 0.0000
0.0000 0.0000 0.5000
0.5000 0.0000 0.0000
```

---

Here is a geometry-optimized CoRh2Br structure from Alexandria via LeMat-Bulk. Energies are from PBE.

Values from the calculation:
Raw formation energy in meV/atom: 667
Energy above the lowest structure with this stoichiometry in eV/f.u.: 0.95

```
CoRh2Br
1.0
2.8497 0.0085 0.0000
-1.4592 2.4478 0.0000
0.0000 0.0000 8.8945
Co Rh Br
1 2 1
Direct
0.5000 0.5000 0.7572
0.5000 0.5000 0.2402
0.0000 0.0000 0.9881
0.0000 0.0000 0.5145
```

---

Here is a geometry-optimized CoRhBr structure from Alexandria via LeMat-Bulk. Energies are from PBE.

Values from the calculation:
Raw formation energy in meV/atom: 527
Energy above the lowest structure with this stoichiometry in eV/f.u.: 0.00

```
CoRhBr
1.0
3.1149 0.0000 0.0000
-1.5574 2.6975 0.0000
0.0000 0.0000 5.8869
Co Rh Br
1 1 1
Direct
0.6667 0.3333 0.3390
0.3333 0.6667 0.6367
0.0000 0.0000 0.0244
```

---

Here is a geometry-optimized CoRhBr2 structure from Alexandria via LeMat-Bulk. Energies are from PBE.

Values from the calculation:
Raw formation energy in meV/atom: 469
Energy above the lowest structure with this stoichiometry in eV/f.u.: 1.61

```
CoRhBr2
1.0
-0.5347 -7.0936 1.6152
1.9042 -5.9129 3.8243
-1.4843 -5.4873 4.5716
Br Rh Co
2 1 1
Direct
0.9919 0.9919 0.9919
0.5081 0.5081 0.5081
0.7500 0.7500 0.7500
0.2500 0.2500 0.2500
```

---

Here is a geometry-optimized CoRh2Br structure from Alexandria via LeMat-Bulk. Energies are from PBE.

Values from the calculation:
Raw formation energy in meV/atom: 723
Energy above the lowest structure with this stoichiometry in eV/f.u.: 1.17

```
CoRh2Br
1.0
-0.2751 1.3244 4.5235
2.8317 -2.8896 2.4337
0.8726 2.5619 -3.8687
Co Rh Br
1 2 1
Direct
0.7500 0.2500 0.5000
0.0000 0.0000 0.0000
0.2500 0.7500 0.5000
0.5000 0.5000 0.0000
```

---

Number 1: Fermi-level density of states 4.317 states/eV/cell. Number 2: Fermi-level density of states 6.698 states/eV/cell. Number 3: Fermi-level density of states 7.387 states/eV/cell. Number 4: Fermi-level density of states 4.516 states/eV/cell. Number 5: Fermi-level density of states 5.509 states/eV/cell. Number 6: Fermi-level density of states 5.599 states/eV/cell.